(1)
Material: GdPuGaHg
Method: DFT, PBE
State: optimized geometry

POSCAR file:
```
GdPuGaHg
1.0
0.000 3.709 3.709
3.709 0.000 3.709
3.709 3.709 0.000
Gd Pu Ga Hg
1 1 1 1
Cartesian
0.000 0.000 0.000 Gd
3.709 3.709 3.709 Pu
5.564 5.564 5.564 Ga
1.855 1.855 1.855 Hg
```

Summary:
Electronic total energy ... -8.241 eV per atom
DOS at the Fermi energy ... 9.50 states/eV per cell
Calculated volume ... 102.1 Å³/f.u.
Energy of formation ... -29.5 kJ/mol of atoms
Space group ... F-43m (216)

---

(2)
Material: MgSi2Ir
Method: DFT, PBE
State: optimized geometry

POSCAR file:
```
MgSi2Ir
1.0
4.219 -1.521 0.000
4.219 1.521 0.000
-0.847 0.000 4.860
Mg Si Ir
1 2 1
Cartesian
0.000 0.000 0.000 Mg
3.904 0.000 2.522 Si
6.197 0.000 1.412 Si
1.504 0.000 3.295 Ir
```

Summary:
Electronic total energy ... -5.509 eV per atom
DOS at the Fermi energy ... 1.02 states/eV per cell
Calculated volume ... 62.4 Å³/f.u.
Space group ... Cm (8)

---

(3)
Material: BaMn3Cr
Method: DFT, PBE
State: optimized geometry

POSCAR file:
```
BaMn3Cr
1.0
5.172 0.000 0.000
0.000 5.172 0.000
0.000 0.000 5.172
Ba Mn Cr
1 3 1
Cartesian
0.000 0.000 0.000 Ba
0.000 0.000 2.586 Mn
0.000 2.586 0.000 Mn
2.586 0.000 0.000 Mn
2.586 2.586 2.586 Cr
```

Summary:
Electronic total energy ... -5.512 eV per atom
Excess energy over the best structure of this formula in the dataset ... 1538 meV per atom
DOS at the Fermi energy ... 6.20 states/eV per cell
Calculated volume ... 138.3 Å³/f.u.
Energy of formation ... 221.9 kJ/mol of atoms
Space group ... Pm-3m (221)

---

(4)
Material: Rb2Tl3Hg6
Method: DFT, PBE
State: optimized geometry

POSCAR file:
```
Rb2Tl3Hg6
1.0
5.987 -7.038 0.000
5.987 7.038 0.000
0.000 0.000 4.758
Rb Tl Hg
2 3 6
Cartesian
5.987 4.190 0.000 Rb
5.987 -4.190 0.000 Rb
3.634 0.000 0.000 Tl
5.987 0.000 2.379 Tl
8.340 0.000 0.000 Tl
1.458 0.000 2.379 Hg
3.722 2.258 2.379 Hg
3.722 -2.258 2.379 Hg
8.252 2.258 2.379 Hg
8.252 -2.258 2.379 Hg
10.516 0.000 2.379 Hg
```

Summary:
Electronic total energy ... -1.087 eV per atom
DOS at the Fermi energy ... 5.53 states/eV per cell
Calculated volume ... 401.0 Å³/f.u.
Energy of formation ... -9.8 kJ/mol of atoms
Space group ... Cmmm (65)

---

(5)
Material: HfAg2Sn2
Method: DFT, PBE
State: optimized geometry

POSCAR file:
```
HfAg2Sn2
1.0
8.055 0.000 0.000
0.000 8.055 0.000
0.000 0.000 3.309
Hf Ag Sn
2 4 4
Cartesian
0.000 0.000 0.000 Hf
4.027 4.027 0.000 Hf
0.974 3.053 0.000 Ag
3.053 7.081 0.000 Ag
5.001 0.974 0.000 Ag
7.081 5.001 0.000 Ag
1.462 5.490 1.655 Sn
2.565 1.462 1.655 Sn
5.490 6.592 1.655 Sn
6.592 2.565 1.655 Sn
```

Summary:
Electronic total energy ... -4.651 eV per atom
Excess energy over the best structure of this formula in the dataset ... 0 meV per atom
DOS at the Fermi energy ... 4.36 states/eV per cell
Calculated volume ... 107.4 Å³/f.u.
Energy of formation ... 7.9 kJ/mol of atoms
Space group ... P4/mbm (127)

---

(6)
Material: K6NaAg2
Method: DFT, PBE
State: optimized geometry

POSCAR file:
```
K6NaAg2
1.0
-5.798 5.886 6.480
5.798 -5.886 6.480
5.798 5.886 -6.480
K Na Ag
12 2 4
Cartesian
5.798 3.388 -3.422 K
3.362 2.180 0.000 K
8.233 2.180 0.000 K
2.233 5.886 -2.273 K
3.564 0.000 4.207 K
0.000 2.498 3.058 K
5.798 3.388 3.422 K
2.233 5.886 2.273 K
3.564 0.000 8.753 K
-2.436 3.706 6.480 K
2.436 3.706 6.480 K
0.000 2.498 9.902 K
0.000 0.000 0.000 Na
0.000 0.000 6.480 Na
5.798 0.000 1.427 Ag
0.000 4.370 0.000 Ag
0.000 7.401 0.000 Ag
0.000 5.886 5.053 Ag
```

Summary:
Electronic total energy ... -1.489 eV per atom
DOS at the Fermi energy ... 10.44 states/eV per cell
Calculated volume ... 442.2 Å³/f.u.
Energy of formation ... 2.2 kJ/mol of atoms
Space group ... Immm (71)

---

(7)
Material: CePuPd2
Method: DFT, PBE
State: optimized geometry

POSCAR file:
```
CePuPd2
1.0
4.840 0.000 0.000
-2.420 4.191 0.000
0.000 0.000 9.126
Ce Pu Pd
2 2 4
Cartesian
0.000 2.794 2.282 Ce
2.420 1.397 6.845 Ce
0.000 0.000 0.000 Pu
0.000 0.000 4.563 Pu
0.000 2.794 5.440 Pd
0.000 2.794 8.250 Pd
2.420 1.397 0.876 Pd
2.420 1.397 3.687 Pd
```

Summary:
Electronic total energy ... -8.128 eV per atom
DOS at the Fermi energy ... 30.11 states/eV per cell
Calculated volume ... 92.6 Å³/f.u.
Energy of formation ... -44.9 kJ/mol of atoms
Space group ... P6_3/mmc (194)

---

(8)
Material: PuAs2Os
Method: DFT, PBE
State: optimized geometry

POSCAR file:
```
PuAs2Os
1.0
2.028 1.171 5.349
-2.028 1.171 5.349
0.000 -2.342 5.349
Pu As Os
1 2 1
Cartesian
0.000 0.000 0.000 Pu
0.000 0.000 3.712 As
0.000 0.000 12.336 As
0.000 0.000 8.024 Os
```

Summary:
Electronic total energy ... -9.163 eV per atom
DOS at the Fermi energy ... 10.59 states/eV per cell
Calculated volume ... 76.2 Å³/f.u.
Energy of formation ... -43.2 kJ/mol of atoms
Space group ... R-3m (166)

---

(9)
Material: MgCdHg2
Method: DFT, PBE
State: optimized geometry

POSCAR file:
```
MgCdHg2
1.0
-2.215 2.215 4.615
2.215 -2.215 4.615
2.215 2.215 -4.615
Mg Cd Hg
1 1 2
Cartesian
0.000 0.000 0.000 Mg
2.215 0.000 2.308 Cd
0.000 0.000 4.615 Hg
0.000 2.215 2.308 Hg
```

Summary:
Electronic total energy ... -0.850 eV per atom
DOS at the Fermi energy ... 1.06 states/eV per cell
Calculated volume ... 90.5 Å³/f.u.
Energy of formation ... -6.9 kJ/mol of atoms
Space group ... I-4m2 (119)

---

(10)
Material: Tb3ZrO
Method: DFT, PBE
State: optimized geometry

POSCAR file:
```
Tb3ZrO
1.0
4.849 0.000 0.000
0.000 4.849 0.000
0.000 0.000 4.849
Tb Zr O
3 1 1
Cartesian
0.000 0.000 2.424 Tb
0.000 2.424 0.000 Tb
2.424 0.000 0.000 Tb
2.424 2.424 2.424 Zr
0.000 0.000 0.000 O
```

Summary:
Electronic total energy ... -6.580 eV per atom
DOS at the Fermi energy ... 5.24 states/eV per cell
Calculated volume ... 114.0 Å³/f.u.
Space group ... Pm-3m (221)

---

(11)
Material: LaCeSm2Tm
Method: DFT, PBE
State: optimized geometry

POSCAR file:
```
LaCeSm2Tm
1.0
8.635 0.000 0.000
0.000 6.225 0.000
-0.129 0.000 6.194
La Ce Sm Tm
2 2 4 2
Cartesian
0.000 0.000 0.000 La
-0.065 0.000 3.097 La
-0.032 2.889 1.548 Ce
-0.097 3.337 4.645 Ce
2.592 1.911 4.607 Sm
2.657 4.315 1.510 Sm
5.848 1.911 4.684 Sm
5.913 4.315 1.587 Sm
4.285 1.108 1.548 Tm
4.220 5.118 4.645 Tm
```

Summary:
Electronic total energy ... -4.684 eV per atom
DOS at the Fermi energy ... 19.74 states/eV per cell
Calculated volume ... 166.5 Å³/f.u.
Energy of formation ... 26.1 kJ/mol of atoms
Space group ... P2/c (13)

---

(12)
Material: NaTb2DyS4
Method: DFT, PBE
State: optimized geometry

POSCAR file:
```
NaTb2DyS4
1.0
6.836 0.000 0.000
0.000 3.921 0.000
-2.239 0.000 6.460
Na Tb Dy S
1 2 1 4
Cartesian
0.000 0.000 0.000 Na
2.299 0.000 3.230 Tb
3.418 1.960 0.000 Tb
-1.120 1.960 3.230 Dy
0.025 0.000 4.835 S
1.164 1.960 1.648 S
3.433 1.960 4.812 S
4.572 0.000 1.625 S
```

Summary:
Electronic total energy ... -5.885 eV per atom
DOS at the Fermi energy ... 2.58 states/eV per cell
Calculated volume ... 173.1 Å³/f.u.
Space group ... P2/m (10)